# Al3AsPt | the Alexandria database | PBE | optimized geometry
data_Al3AsPt
_space_group_name_H-M_alt 'P 1'
_space_group_IT_number 1
_space_group_name_Hall 'P 1'
_cell_length_a 4.745
_cell_length_b 4.745
_cell_length_c 4.745
_cell_angle_alpha 90.00
_cell_angle_beta 90.00
_cell_angle_gamma 90.00
loop_
_atom_site_label
_atom_site_type_symbol
_atom_site_fract_x
_atom_site_fract_y
_atom_site_fract_z
Al1 Al 0.000 0.500 0.000
Al2 Al 0.500 0.000 0.000
Al3 Al 0.000 0.000 0.500
Pt1 Pt 0.500 0.500 0.500
As1 As 0.000 0.000 0.000
# Energy above the most stable polymorph in this dataset   360.4 kJ/mol of formula units
# Calculated density   5.45 Mg/m³
# Formation energy   0.64 eV/atom

# Al2AsPt | the Alexandria database | PBE | optimized geometry
data_Al2AsPt
_space_group_name_H-M_alt 'P 1'
_space_group_IT_number 1
_space_group_name_Hall 'P 1'
_cell_length_a 3.353
_cell_length_b 3.353
_cell_length_c 5.695
_cell_angle_alpha 90.00
_cell_angle_beta 90.00
_cell_angle_gamma 90.00
loop_
_atom_site_label
_atom_site_type_symbol
_atom_site_fract_x
_atom_site_fract_y
_atom_site_fract_z
Pt1 Pt 0.500 0.500 0.750
As1 As 0.500 0.500 0.250
Al1 Al 0.000 0.000 0.994
Al2 Al 0.000 0.000 0.506
# Calculated density   8.40 Mg/m³
# Formation energy   -0.32 eV/atom

# Al2AsPt2 | the Alexandria database | PBE | optimized geometry
data_Al2AsPt2
_space_group_name_H-M_alt 'P 1'
_space_group_IT_number 1
_space_group_name_Hall 'P 1'
_cell_length_a 3.828
_cell_length_b 3.828
_cell_length_c 6.507
_cell_angle_alpha 72.89
_cell_angle_beta 72.89
_cell_angle_gamma 90.00
loop_
_atom_site_label
_atom_site_type_symbol
_atom_site_fract_x
_atom_site_fract_y
_atom_site_fract_z
As1 As 0.000 0.000 0.000
Al1 Al 0.750 0.250 0.500
Al2 Al 0.250 0.750 0.500
Pt1 Pt 0.616 0.616 0.768
Pt2 Pt 0.384 0.384 0.232
# Energy above the most stable polymorph in this dataset   68.5 kJ/mol of formula units
# Calculated density   9.94 Mg/m³
# Formation energy   -0.56 eV/atom

# AlAs2Pt | the Alexandria database | PBE | optimized geometry
data_AlAs2Pt
_space_group_name_H-M_alt 'P 1'
_space_group_IT_number 1
_space_group_name_Hall 'P 1'
_cell_length_a 4.535
_cell_length_b 3.921
_cell_length_c 3.921
_cell_angle_alpha 90.00
_cell_angle_beta 90.00
_cell_angle_gamma 90.00
loop_
_atom_site_label
_atom_site_type_symbol
_atom_site_fract_x
_atom_site_fract_y
_atom_site_fract_z
Pt1 Pt 0.500 0.500 0.000
As1 As 0.000 0.000 0.000
As2 As 0.000 0.500 0.500
Al1 Al 0.500 0.000 0.500
# Calculated density   8.86 Mg/m³
# Formation energy   0.04 eV/atom

# Al2AsPt | the Alexandria database | PBE | optimized geometry
data_Al2AsPt
_space_group_name_H-M_alt 'P 1'
_space_group_IT_number 1
_space_group_name_Hall 'P 1'
_cell_length_a 5.533
_cell_length_b 5.533
_cell_length_c 5.533
_cell_angle_alpha 140.77
_cell_angle_beta 140.77
_cell_angle_gamma 56.69
loop_
_atom_site_label
_atom_site_type_symbol
_atom_site_fract_x
_atom_site_fract_y
_atom_site_fract_z
As1 As 0.500 0.500 0.000
Al1 Al 0.250 0.750 0.500
Al2 Al 0.000 0.000 0.000
Pt1 Pt 0.750 0.250 0.500
# Calculated density   8.00 Mg/m³
# Formation energy   -0.20 eV/atom

# AlAs2Pt | the Alexandria database | PBE | optimized geometry
data_AlAs2Pt
_space_group_name_H-M_alt 'P 1'
_space_group_IT_number 1
_space_group_name_Hall 'P 1'
_cell_length_a 6.289
_cell_length_b 6.289
_cell_length_c 3.755
_cell_angle_alpha 72.66
_cell_angle_beta 72.66
_cell_angle_gamma 34.42
loop_
_atom_site_label
_atom_site_type_symbol
_atom_site_fract_x
_atom_site_fract_y
_atom_site_fract_z
Pt1 Pt 0.250 0.250 0.250
As1 As 0.910 0.910 0.090
As2 As 0.590 0.590 0.410
Al1 Al 0.750 0.750 0.750
# Calculated density   7.74 Mg/m³
# Formation energy   -0.24 eV/atom

# AlAsPt | the Alexandria database | PBE | optimized geometry
data_AlAsPt
_space_group_name_H-M_alt 'P 1'
_space_group_IT_number 1
_space_group_name_Hall 'P 1'
_cell_length_a 6.292
_cell_length_b 6.030
_cell_length_c 6.341
_cell_angle_alpha 112.17
_cell_angle_beta 90.00
_cell_angle_gamma 90.00
loop_
_atom_site_label
_atom_site_type_symbol
_atom_site_fract_x
_atom_site_fract_y
_atom_site_fract_z
Al1 Al 0.639 0.138 0.658
Al2 Al 0.632 0.654 0.051
Al3 Al 0.132 0.346 0.949
Al4 Al 0.139 0.862 0.342
Pt1 Pt 0.487 0.711 0.444
Pt2 Pt 0.494 0.267 0.061
Pt3 Pt 0.994 0.733 0.939
Pt4 Pt 0.987 0.289 0.556
As1 As 0.377 0.303 0.454
As2 As 0.876 0.155 0.143
As3 As 0.877 0.697 0.546
As4 As 0.376 0.845 0.857
# Calculated density   8.85 Mg/m³
# Formation energy   -0.50 eV/atom

# Al2AsPt | the Alexandria database | PBE | optimized geometry
data_Al2AsPt
_space_group_name_H-M_alt 'P 1'
_space_group_IT_number 1
_space_group_name_Hall 'P 1'
_cell_length_a 3.164
_cell_length_b 2.825
_cell_length_c 7.588
_cell_angle_alpha 90.02
_cell_angle_beta 90.00
_cell_angle_gamma 90.00
loop_
_atom_site_label
_atom_site_type_symbol
_atom_site_fract_x
_atom_site_fract_y
_atom_site_fract_z
Pt1 Pt 0.500 0.750 0.750
Al1 Al 0.000 0.250 0.538
Al2 Al 0.000 0.250 0.962
As1 As 0.500 0.250 0.250
# Calculated density   7.93 Mg/m³
# Formation energy   -0.47 eV/atom

# Al2AsPt | the Alexandria database | PBE | optimized geometry
data_Al2AsPt
_space_group_name_H-M_alt 'P 1'
_space_group_IT_number 1
_space_group_name_Hall 'P 1'
_cell_length_a 3.571
_cell_length_b 3.641
_cell_length_c 5.793
_cell_angle_alpha 64.80
_cell_angle_beta 90.00
_cell_angle_gamma 90.00
loop_
_atom_site_label
_atom_site_type_symbol
_atom_site_fract_x
_atom_site_fract_y
_atom_site_fract_z
Al1 Al 0.500 0.248 0.303
Al2 Al 0.000 0.003 0.934
As1 As 0.000 0.660 0.437
Pt1 Pt 0.500 0.590 0.826
# Calculated density   7.90 Mg/m³
# Formation energy   -0.45 eV/atom

# Al2AsPt | the Alexandria database | PBE | optimized geometry
data_Al2AsPt
_space_group_name_H-M_alt 'P 1'
_space_group_IT_number 1
_space_group_name_Hall 'P 1'
_cell_length_a 4.558
_cell_length_b 4.558
_cell_length_c 4.558
_cell_angle_alpha 60.00
_cell_angle_beta 60.00
_cell_angle_gamma 60.00
loop_
_atom_site_label
_atom_site_type_symbol
_atom_site_fract_x
_atom_site_fract_y
_atom_site_fract_z
Pt1 Pt 0.750 0.750 0.750
As1 As 0.500 0.500 0.500
Al1 Al 0.000 0.000 0.000
Al2 Al 0.250 0.250 0.250
# Calculated density   8.03 Mg/m³
# Formation energy   -0.10 eV/atom

# Al2AsPt | the Alexandria database | PBE | optimized geometry
data_Al2AsPt
_space_group_name_H-M_alt 'P 1'
_space_group_IT_number 1
_space_group_name_Hall 'P 1'
_cell_length_a 8.177
_cell_length_b 8.177
_cell_length_c 8.177
_cell_angle_alpha 22.17
_cell_angle_beta 22.17
_cell_angle_gamma 22.17
loop_
_atom_site_label
_atom_site_type_symbol
_atom_site_fract_x
_atom_site_fract_y
_atom_site_fract_z
Al1 Al 0.750 0.750 0.750
Al2 Al 0.995 0.995 0.995
Pt1 Pt 0.253 0.253 0.253
As1 As 0.502 0.502 0.502
# Calculated density   7.88 Mg/m³
# Formation energy   -0.18 eV/atom

# AlAs2Pt | the Alexandria database | PBE | optimized geometry
data_AlAs2Pt
_space_group_name_H-M_alt 'P 1'
_space_group_IT_number 1
_space_group_name_Hall 'P 1'
_cell_length_a 2.823
_cell_length_b 4.824
_cell_length_c 5.043
_cell_angle_alpha 90.00
_cell_angle_beta 90.00
_cell_angle_gamma 90.00
loop_
_atom_site_label
_atom_site_type_symbol
_atom_site_fract_x
_atom_site_fract_y
_atom_site_fract_z
Pt1 Pt 0.500 0.000 0.500
As1 As 0.000 0.000 0.000
As2 As 0.500 0.500 0.000
Al1 Al 0.000 0.500 0.500
# Calculated density   8.99 Mg/m³
# Formation energy   -0.02 eV/atom